[1]
LiCaTlI4: relaxed, PBE-GGA.

a = 7.644 Å, b = 8.135 Å, c = 9.435 Å
α = 90.00°, β = 107.53°, γ = 90.00°
Sites, in units of the cell vectors:
Li 0.244 0.250 0.322
Li 0.756 0.750 0.678
Ca 0.211 0.750 0.553
Ca 0.789 0.250 0.447
Tl 0.229 0.750 0.051
Tl 0.771 0.250 0.949
I 0.007 0.003 0.717
I 0.007 0.497 0.717
I 0.464 0.250 0.145
I 0.481 0.250 0.601
I 0.519 0.750 0.399
I 0.536 0.750 0.855
I 0.993 0.503 0.283
I 0.993 0.997 0.283

formation energy (no corrections)	-1.1743	eV per atom
space-group type	No. 11



[2]
V2ZnPtBr: relaxed, PBE-GGA.

a = 4.634 Å, b = 4.634 Å, c = 4.650 Å
α = 90.00°, β = 90.00°, γ = 90.00°
Sites, in units of the cell vectors:
V 0.000 0.500 0.000
V 0.500 0.000 0.000
Zn 0.000 0.000 0.000
Pt 0.500 0.500 0.500
Br 0.000 0.000 0.500

formation energy (no corrections)	1.5813	eV per atom
space-group type	No. 123



[3]
BaCd2Te: relaxed, PBE-GGA.

a = 4.886 Å, b = 6.057 Å, c = 4.901 Å
α = 90.00°, β = 92.35°, γ = 90.00°
Sites, in units of the cell vectors:
Ba 0.000 0.000 0.000
Cd 0.288 0.500 0.729
Cd 0.712 0.500 0.271
Te 0.500 0.000 0.500

formation energy (no corrections)	-0.5799	eV per atom
space-group type	No. 10



[4]
LaCrCdS2: relaxed, PBE-GGA.

a = 4.642 Å, b = 4.642 Å, c = 5.031 Å
α = 90.00°, β = 90.00°, γ = 90.00°
Sites, in units of the cell vectors:
La 0.000 0.000 0.000
Cr 0.000 0.000 0.500
Cd 0.500 0.500 0.000
S 0.000 0.500 0.500
S 0.500 0.000 0.500

formation energy (no corrections)	-0.2489	eV per atom
space-group type	No. 123



[5]
Pm2SiIr: relaxed, PBE-GGA.

a = 5.649 Å, b = 4.252 Å, c = 8.247 Å
α = 90.00°, β = 105.90°, γ = 90.00°
Sites, in units of the cell vectors:
Pm 0.203 0.250 0.418
Pm 0.275 0.750 0.067
Pm 0.725 0.250 0.933
Pm 0.797 0.750 0.582
Si 0.347 0.750 0.714
Si 0.653 0.250 0.286
Ir 0.165 0.250 0.779
Ir 0.835 0.750 0.221

formation energy (no corrections)	-0.7603	eV per atom
space-group type	No. 11



[6]
InGa5Pd2: relaxed, PBE-GGA.

a = 6.554 Å, b = 6.554 Å, c = 6.554 Å
α = 147.35°, β = 102.42°, γ = 86.73°
Sites, in units of the cell vectors:
In 0.000 0.000 0.000
Ga 0.158 0.353 0.805
Ga 0.452 0.647 0.805
Ga 0.500 0.000 0.500
Ga 0.548 0.353 0.195
Ga 0.842 0.647 0.195
Pd 0.230 0.730 0.500
Pd 0.770 0.270 0.500

space-group type	No. 71
energy of formation	-0.32	eV per atom



| no. | DOS(E_F) (states/eV/cell) |
| --- | --- |
| 1 | 0.000 |
| 2 | 12.497 |
| 3 | 1.614 |
| 4 | 4.612 |
| 5 | 6.395 |
| 6 | 2.421 |